[1]
Density functional theory data (PBE) for a relaxed NaIrO6 crystal.

Calculated values
Formation energy without anion corrections = -94 meV/atom
SG = No. 225
V = 150 Å³/cell
Spin magnetization = 2.00 μB per formula unit

```
NaIrO6
1.0
5.9601 0.0000 0.0000
2.9801 5.1616 0.0000
2.9801 1.7205 4.8664
O Na Ir
6 1 1
direct
0.7814 0.2186 0.7814 O
0.2186 0.2186 0.7814 O
0.7814 0.2186 0.2186 O
0.2186 0.7814 0.7814 O
0.2186 0.7814 0.2186 O
0.7814 0.7814 0.2186 O
0.5000 0.5000 0.5000 Na
0.0000 0.0000 0.0000 Ir
```



[2]
Density functional theory data (PBE) for a relaxed Sm6Sn2BiTe3 crystal.

Calculated values
Formation energy without anion corrections = -1141 meV/atom
SG = No. 12
V = 384 Å³/cell
Spin magnetization = 0.00 μB per formula unit

```
Sm6Sn2BiTe3
1.0
-0.4593 4.0689 1.8415
-0.2264 -3.7254 8.1749
9.7510 -0.3277 -2.3170
Sn Sm Te Bi
2 6 3 1
direct
0.1671 0.3338 0.3342 Sn
0.8329 0.6662 0.6658 Sn
0.6691 0.5774 0.3382 Sm
0.0043 0.2511 0.0087 Sm
0.9957 0.7489 0.9913 Sm
0.3328 0.9066 0.6657 Sm
0.3309 0.4226 0.6618 Sm
0.6672 0.0934 0.3343 Sm
0.8350 0.1662 0.6700 Te
0.5000 0.5000 0.0000 Te
0.1650 0.8338 0.3300 Te
0.5000 0.0000 0.0000 Bi
```



[3]
Density functional theory data (PBE) for a relaxed LaCe2Mn crystal.

Calculated values
SG = No. 123
Excess energy over the best structure of this formula in the dataset = 0.000 eV per atom
V = 102 Å³/cell
E_form = 0.743 eV/f.u.
Spin magnetization = 0.43 μB per formula unit

```
LaCe2Mn
1.0
3.4813 0.0000 0.0000
0.0000 3.4813 0.0000
0.0000 0.0000 8.3924
La Ce Mn
1 2 1
direct
0.5000 0.5000 0.5000 La
0.0000 0.0000 0.1924 Ce
0.0000 0.0000 0.8076 Ce
0.5000 0.5000 0.0000 Mn
```



[4]
Density functional theory data (PBE) for a relaxed Ba4PdSI2 crystal.

Calculated values
Formation energy without anion corrections = -1331 meV/atom
SG = No. 10
V = 324 Å³/cell
Spin magnetization = 0.43 μB per formula unit

```
Ba4PdSI2
1.0
4.6284 0.0000 0.0000
0.0000 8.2319 0.2744
0.0000 -2.7662 8.4021
I Ba S Pd
2 4 1 1
direct
0.0000 0.5000 0.5000 I
0.5000 0.0000 0.5000 I
0.0000 0.7355 0.2044 Ba
0.5000 0.7624 0.8002 Ba
0.5000 0.2376 0.1998 Ba
0.0000 0.2645 0.7956 Ba
0.0000 0.0000 0.0000 S
0.5000 0.5000 0.0000 Pd
```



[5]
Density functional theory data (PBE) for a relaxed InBr2Cl crystal.

Calculated values
Formation energy without anion corrections = -645 meV/atom
SG = No. 122
Excess energy over the best structure of this formula in the dataset = 0.266 eV per atom
V = 250 Å³/cell
Spin magnetization = 0.00 μB per formula unit

```
InBr2Cl
1.0
-2.3159 3.1509 -8.9454
8.2726 -3.8321 -3.4915
1.7323 -2.5995 -6.6916
Br Cl In
4 2 2
direct
0.7610 0.1250 0.2500 Br
0.9890 0.6250 0.2500 Br
0.8750 0.0110 0.7500 Br
0.3750 0.2390 0.7500 Br
0.2500 0.7500 0.5000 Cl
0.5000 0.5000 0.0000 Cl
0.7500 0.2500 0.5000 In
0.0000 0.0000 0.0000 In
```



[6]
Density functional theory data (PBE) for a relaxed AcErPb crystal.

Calculated values
SG = No. 129
Excess energy over the best structure of this formula in the dataset = 0.034 eV per atom
V = 209 Å³/cell
E_form = -1.252 eV/f.u.
Spin magnetization = 1.08 μB per formula unit

```
AcErPb
1.0
-0.0220 4.5858 1.5673
-4.8361 -0.1216 0.2884
0.5763 -2.8759 8.4205
Pb Er Ac
2 2 2
direct
0.8136 0.8667 0.1658 Pb
0.3135 0.3663 0.6734 Pb
0.3136 0.8664 0.9196 Er
0.8136 0.3665 0.9196 Er
0.8135 0.8663 0.5696 Ac
0.3136 0.3666 0.2696 Ac
```